(1)
DFT (GGA-PBE) results for a relaxed structure of Fe3Au4.

The space group is I4/mmm (No. 139) and the conventional cell measures 2.831, 2.831 and 27.397 Å, with angles of 90.00, 90.00 and 90.00 degrees. The inequivalent atoms are Fe at (0.000, 0.000, 0.000), Fe at (0.000, 0.000, 0.140), Au at (0.000, 0.000, 0.292) and Au at (0.000, 0.000, 0.430).

The value obtained for the energy relative to the elements is 148.1 meV per atom. The energy above the lowest structure with this stoichiometry is 0.041 eV/atom.

***

(2)
DFT (GGA-PBE) results for a relaxed structure of Sm2Si4Os5.

The space group is Fmmm (No. 69) and the conventional cell measures 5.852, 10.082 and 12.987 Å, with angles of 90.00, 90.00 and 90.00 degrees. The inequivalent atoms are Sm at (0.000, 0.000, 0.128), Si at (0.000, 0.148, 0.365), Os at (0.000, 0.000, 0.500), Os at (0.250, 0.250, 0.000) and Os at (0.250, 0.250, 0.250).

***

(3)
DFT (GGA-PBE) results for a relaxed structure of SrMg3In2.

The space group is C2/m (No. 12) and the conventional cell measures 17.296, 4.723 and 9.068 Å, with angles of 90.00, 115.47 and 90.00 degrees. The inequivalent atoms are Sr at (0.147, 0.000, 0.060), Mg at (0.044, 0.000, 0.378), Mg at (0.093, 0.500, 0.683), Mg at (0.187, 0.500, 0.464), In at (0.026, 0.500, 0.170) and In at (0.198, 0.000, 0.707).

The value obtained for the energy relative to the elements is -221.3 meV per atom.

***

no.,VASP energy (eV per atom)
1,-5.3515
2,-8.4439
3,-2.2117